1.
A relaxed SrPrCd crystal. Source: Alexandria via LeMat-Bulk, functional PBE-GGA.

Structure (CIF):
```
data_SrPrCd
_space_group_name_H-M_alt 'P -1'
_space_group_IT_number 2
_cell_length_a 3.8923
_cell_length_b 6.8856
_cell_length_c 8.6265
_cell_angle_alpha 106.63
_cell_angle_beta 90.05
_cell_angle_gamma 106.36
loop_
_space_group_symop_operation_xyz
'x,y,z'
'-x,-y,-z'
loop_
_atom_site_label
_atom_site_fract_x
_atom_site_fract_y
_atom_site_fract_z
_atom_site_occupancy
Sr1 0.1509 0.3009 0.1036 1
Pr1 0.1331 0.2677 0.5368 1
Cd1 0.4731 0.9451 0.2385 1
```

Output
- Energy above the lowest structure with this stoichiometry: 0.13 kJ per mole of atoms
- Calculated formation energy: -0.16 eV/atom
- Calculated total energy: -7.86 eV per formula unit


2.
A relaxed Pu2Ni4Sb3As crystal. Source: Alexandria via LeMat-Bulk, functional PBE-GGA.

Structure (CIF):
```
data_Pu2Ni4Sb3As
_space_group_name_H-M_alt 'P -4 m 2'
_space_group_IT_number 115
_cell_length_a 4.4126
_cell_length_b 4.4126
_cell_length_c 9.7213
_cell_angle_alpha 90.00
_cell_angle_beta 90.00
_cell_angle_gamma 90.00
loop_
_space_group_symop_operation_xyz
'x,y,z'
'y,-x,-z'
'-x,-y,z'
'-y,x,-z'
'-x,y,z'
'-y,-x,-z'
'x,-y,z'
'y,x,-z'
loop_
_atom_site_label
_atom_site_fract_x
_atom_site_fract_y
_atom_site_fract_z
_atom_site_occupancy
Pu1 0.0000 0.5000 0.2476 1
Ni1 0.0000 0.0000 0.5000 1
Ni2 0.0000 0.5000 0.8872 1
Ni3 0.5000 0.5000 0.5000 1
Sb1 0.0000 0.0000 0.0000 1
Sb2 0.0000 0.5000 0.6326 1
As1 0.5000 0.5000 0.0000 1
```

Output
- Calculated total energy: -73.51 eV per formula unit
- ΔE_f (raw): -471 meV per atom


3.
A relaxed LiFePt crystal. Source: Alexandria via LeMat-Bulk, functional PBE-GGA.

Structure (CIF):
```
data_LiFePt
_space_group_name_H-M_alt 'F m m 2'
_space_group_IT_number 42
_space_group_name_Hall 'F 2 -2'
_cell_length_a 2.8420
_cell_length_b 4.4702
_cell_length_c 13.3484
_cell_angle_alpha 90.00
_cell_angle_beta 90.00
_cell_angle_gamma 90.00
loop_
_atom_site_label
_atom_site_fract_x
_atom_site_fract_y
_atom_site_fract_z
_atom_site_occupancy
Li1 0.0000 0.0000 0.0000 1
Fe1 0.0000 0.0000 0.3303 1
Pt1 0.0000 0.0000 0.6635 1
```

Output
- Calculated formation energy: -0.05 eV/atom
- Calculated total energy: -16.58 eV per formula unit


4.
A relaxed SiSbOs2 crystal. Source: Alexandria via LeMat-Bulk, functional PBE-GGA.

Structure (CIF):
```
data_SiSbOs2
_space_group_name_H-M_alt 'C m m 2'
_space_group_IT_number 35
_cell_length_a 2.8890
_cell_length_b 5.0166
_cell_length_c 9.7359
_cell_angle_alpha 90.00
_cell_angle_beta 90.00
_cell_angle_gamma 90.00
loop_
_space_group_symop_operation_xyz
'x,y,z'
'-x,-y,z'
'-x,y,z'
'x,-y,z'
'x+1/2,y+1/2,z'
'-x+1/2,-y+1/2,z'
'-x+1/2,y+1/2,z'
'x+1/2,-y+1/2,z'
loop_
_atom_site_label
_atom_site_fract_x
_atom_site_fract_y
_atom_site_fract_z
_atom_site_occupancy
Si1 0.0000 0.0000 0.0000 1
Sb1 0.0000 0.5000 0.6784 1
Os1 0.0000 0.0000 0.4324 1
Os2 0.0000 0.5000 0.2046 1
```

Output
- Energy above the lowest structure with this stoichiometry: 52.06 kJ per mole of atoms
- Calculated total energy: -29.17 eV per formula unit
- ΔE_f (raw): 708 meV per atom


5.
A relaxed B5C3 crystal. Source: Alexandria via LeMat-Bulk, functional PBE-GGA.

Structure (CIF):
```
data_B5C3
_space_group_name_H-M_alt 'A m m 2'
_space_group_IT_number 38
_cell_length_a 2.7454
_cell_length_b 6.2929
_cell_length_c 6.4308
_cell_angle_alpha 90.00
_cell_angle_beta 90.00
_cell_angle_gamma 90.00
loop_
_space_group_symop_operation_xyz
'x,y,z'
'-x,-y,z'
'-x,y,z'
'x,-y,z'
'x,y+1/2,z+1/2'
'-x,-y+1/2,z+1/2'
'-x,y+1/2,z+1/2'
'x,-y+1/2,z+1/2'
loop_
_atom_site_label
_atom_site_fract_x
_atom_site_fract_y
_atom_site_fract_z
_atom_site_occupancy
B1 0.0000 0.0000 0.0000 1
B2 0.0000 0.0000 0.4534 1
B3 0.5000 0.0000 0.6153 1
B4 0.5000 0.2416 0.7424 1
C1 0.0000 0.1307 0.2324 1
C2 0.5000 0.0000 0.8729 1
```

Output
- Energy above the lowest structure with this stoichiometry: 0.00 kJ per mole of atoms
- Calculated formation energy: 0.27 eV/atom
- Calculated total energy: -58.90 eV per formula unit


6.
A relaxed ErNbW crystal. Source: Alexandria via LeMat-Bulk, functional PBE-GGA.

Structure (CIF):
```
data_ErNbW
_space_group_name_H-M_alt 'F d d d'
_space_group_IT_number 70
_cell_length_a 5.0295
_cell_length_b 10.1433
_cell_length_c 20.5024
_cell_angle_alpha 90.00
_cell_angle_beta 90.00
_cell_angle_gamma 90.00
loop_
_space_group_symop_operation_xyz
'x,y,z'
'-x,-y,-z'
'-x+1/4,-y+1/4,z'
'x+1/4,y+1/4,-z'
'x,-y+1/4,-z+1/4'
'-x,y+1/4,z+1/4'
'-x+1/4,y,-z+1/4'
'x+1/4,-y,z+1/4'
'x,y+1/2,z+1/2'
'-x,-y+1/2,-z+1/2'
'-x+1/4,-y+3/4,z+1/2'
'x+1/4,y+3/4,-z+1/2'
'x,-y+3/4,-z+3/4'
'-x,y+3/4,z+3/4'
'-x+1/4,y+1/2,-z+3/4'
'x+1/4,-y+1/2,z+3/4'
'x+1/2,y,z+1/2'
'-x+1/2,-y,-z+1/2'
'-x+3/4,-y+1/4,z+1/2'
'x+3/4,y+1/4,-z+1/2'
'x+1/2,-y+1/4,-z+3/4'
'-x+1/2,y+1/4,z+3/4'
'-x+3/4,y,-z+3/4'
'x+3/4,-y,z+3/4'
'x+1/2,y+1/2,z'
'-x+1/2,-y+1/2,-z'
'-x+3/4,-y+3/4,z'
'x+3/4,y+3/4,-z'
'x+1/2,-y+3/4,-z+1/4'
'-x+1/2,y+3/4,z+1/4'
'-x+3/4,y+1/2,-z+1/4'
'x+3/4,-y+1/2,z+1/4'
loop_
_atom_site_label
_atom_site_fract_x
_atom_site_fract_y
_atom_site_fract_z
_atom_site_occupancy
Er1 0.1250 0.2797 0.1250 1
Nb1 0.1250 0.1250 0.5378 1
W1 0.1250 0.1250 0.0001 1
```

Output
- Calculated formation energy: 0.34 eV/atom
- Calculated total energy: -26.55 eV per formula unit


7.
A relaxed LaGdErGa crystal. Source: Alexandria via LeMat-Bulk, functional PBE-GGA.

Structure (CIF):
```
data_LaGdErGa
_space_group_name_H-M_alt 'F -4 3 m'
_space_group_IT_number 216
_space_group_name_Hall 'F -4 2 3'
_cell_length_a 7.6659
_cell_length_b 7.6659
_cell_length_c 7.6659
_cell_angle_alpha 90.00
_cell_angle_beta 90.00
_cell_angle_gamma 90.00
loop_
_atom_site_label
_atom_site_fract_x
_atom_site_fract_y
_atom_site_fract_z
_atom_site_occupancy
La1 0.0000 0.0000 0.0000 1
Gd1 0.0000 0.0000 0.5000 1
Er1 0.2500 0.2500 0.2500 1
Ga1 0.2500 0.2500 0.7500 1
```

Output
- Calculated formation energy: -0.13 eV/atom
- Calculated total energy: -27.12 eV per formula unit


8.
A relaxed Cs2Hg2S crystal. Source: Alexandria via LeMat-Bulk, functional PBE-GGA.

Structure (CIF):
```
data_Cs2Hg2S
_space_group_name_H-M_alt 'P 4/m b m'
_space_group_IT_number 127
_space_group_name_Hall '-P 4 2ab'
_cell_length_a 8.6159
_cell_length_b 8.6159
_cell_length_c 5.3208
_cell_angle_alpha 90.00
_cell_angle_beta 90.00
_cell_angle_gamma 90.00
loop_
_atom_site_label
_atom_site_fract_x
_atom_site_fract_y
_atom_site_fract_z
_atom_site_occupancy
Cs1 0.1829 0.3171 0.0000 1
Hg1 0.1299 0.6299 0.5000 1
S1 0.0000 0.0000 0.5000 1
```

Output
- Energy above the lowest structure with this stoichiometry: 1.54 kJ per mole of atoms
- Calculated total energy: -8.26 eV per formula unit
- ΔE_f (raw): -364 meV per atom


Total moment readings, ordered: 0.00, 1.07, 1.00, 0.00, 0.00, 0.00, 2.07, 0.00 μB per atom